# 1
! PBE BaZnCd2Au, optimized geometry; values from VASP
&SYSTEM
  ibrav = 0, nat = 5, ntyp = 4
/
ATOMIC_SPECIES
Ba 137.33 Ba.upf
Zn 65.41 Zn.upf
Cd 112.41 Cd.upf
Au 196.97 Au.upf
ATOMIC_POSITIONS angstrom
Ba -1.427 2.379 4.632
Zn 1.127 0.105 3.214
Cd -1.964 -0.754 2.595
Cd -0.190 0.316 0.613
Au -0.614 -1.020 5.085
CELL_PARAMETERS angstrom
-2.653 -3.634 1.049
3.577 -1.998 2.126
-2.108 5.562 3.759
! - energy above the lowest structure with this stoichiometry (eV/atom) = 0.000
! - energy of formation from the pure elements (meV per atom) = -348

=====

# 2
! PBE Te2OsRh, optimized geometry; values from VASP
&SYSTEM
  ibrav = 0, nat = 4, ntyp = 3
/
ATOMIC_SPECIES
Te 127.60 Te.upf
Os 190.23 Os.upf
Rh 102.91 Rh.upf
ATOMIC_POSITIONS angstrom
Te 0.000 0.000 0.000
Te -2.078 2.175 0.854
Os -2.205 -1.336 0.993
Rh -1.380 0.785 3.138
CELL_PARAMETERS angstrom
-2.903 0.054 -1.291
-1.508 -2.726 3.277
-1.253 4.297 2.999
! - energy above the lowest structure with this stoichiometry (eV/atom) = 0.869
! - uncorrected formation energy (eV per atom) = 0.84

=====

# 3
! PBE LiOs2Se, optimized geometry; values from VASP
&SYSTEM
  ibrav = 0, nat = 4, ntyp = 3
/
ATOMIC_SPECIES
Li 6.94 Li.upf
Os 190.23 Os.upf
Se 78.96 Se.upf
ATOMIC_POSITIONS angstrom
Li -4.016 -1.405 2.338
Os -4.775 0.949 2.986
Os -2.493 0.495 1.559
Se -1.593 -1.886 0.823
CELL_PARAMETERS angstrom
-1.504 -1.982 -1.776
0.741 -2.271 1.907
-4.845 0.963 3.030
! - uncorrected formation energy (eV per atom) = 0.65